Below is a relaxed InBiSb crystal, with properties calculated at the GGA-PBE level.

## Properties
Symmetry ... No. 1
E_form (uncorrected) ... 0.04 eV per atom
Size of the total moment ... 0.000 μB per atom
Final energy ... -10.6 eV/cell
Calculated volume ... 30.989 A^3/atom

abc: 3.2922 4.3759 6.8007
angles: 107.69 93.52 92.47
With the nearest neighbours (Å) after each atom.
Element x y z (fractional)
1 In 0.0000 0.0000 0.0000  4 Sb 3.29-3.58, 2 In 3.29, 3 Bi 3.47-3.58
2 Bi 0.5026 0.3215 0.6475  2 Sb 3.09, 2 Bi 3.29
3 Sb 0.4836 0.6606 0.3097  2 Bi 3.09, 3 In 3.29-3.41, 2 Sb 3.29